ScUAu4 after structural relaxation. Source: Alexandria via LeMat-Bulk, functional PBE.

Cell and atoms, written as POSCAR:
```
ScUAu4
1.0
3.601 0.000 0.000
0.000 3.601 0.000
0.000 0.000 9.354
Au Sc U
4 1 1
Direct
0.500 0.500 0.817
0.000 0.000 0.346
0.000 0.000 0.654
0.500 0.500 0.183
0.500 0.500 0.500
0.000 0.000 0.000
```

Crystal system: tetragonal
SG: No. 123
ΔE_f: -471 meV/atom
E: -5.592 eV per atom